Entry 1:
Material: La2Sm3ErAs6
Method: DFT, PBE-GGA
State: optimized geometry

Calculated values
The value obtained for the density is 6862 kg/m3. Its uncorrected energy is -6.23 eV per atom. The volume is 325.64 Å³ per cell. The calculation puts the formation energy from the elements at -1.527 eV per atom.

Cell: 9.4999 9.4999 8.5013 Å, 102.98 102.98 25.86°
Fractional coordinates of all 12 atoms:
La1 0.1650 0.1650 0.3306
La2 0.8350 0.8350 0.6694
Sm1 0.1670 0.1670 0.8344
Sm2 0.5000 0.5000 0.5000
Sm3 0.8330 0.8330 0.1656
Er1 0.5000 0.5000 0.0000
As1 0.0024 0.0024 0.7571
As2 0.3350 0.3350 0.4124
As3 0.3359 0.3359 0.9236
As4 0.6641 0.6641 0.0764
As5 0.6650 0.6650 0.5876
As6 0.9976 0.9976 0.2429

---

Entry 2:
Material: ZnPPt
Method: DFT, PBE-GGA
State: optimized geometry

Calculated values
Its energy above the most stable polymorph in this dataset is 0.59 eV/f.u. The value obtained for the density is 9955 kg/m3. Its uncorrected energy is -4.37 eV per atom. The volume is 48.62 Å³ per cell. The calculation puts the formation energy from the elements at -0.125 eV per atom.

Cell: 4.0967 4.0967 4.0967 Å, 60.00 60.00 60.00°
Fractional coordinates of all 3 atoms:
Zn1 0.0000 0.0000 0.0000
P1 0.2500 0.2500 0.2500
Pt1 0.5000 0.5000 0.5000

---

Question: Look up the density of the second one.
Answer: 9955 kg/m3